(1)
A geometry-optimized AcPrY3 structure, computed with PBE-GGA.

Output
ΔH_f (0 K)	0.23	eV/f.u.
final energy	-112.2	eV per cell
magnetic moment	0.00	μB/cell
offset from the most stable computed form	0.00	eV per formula unit

The structure in extended XYZ format:
```
20
Lattice="5.677 0.000 0.213 0.000 7.201 0.000 -0.648 0.000 17.321" Properties=species:S:1:pos:R:3 pbc="T T T"
Y 1.063 1.837 9.584
Y 0.804 1.762 16.506
Y 1.063 5.362 9.582
Y 3.967 5.363 7.950
Y 3.846 3.599 11.150
Y 4.225 1.763 1.030
Y 1.332 0.001 2.383
Y 4.226 5.439 1.028
Y 3.966 1.839 7.952
Y 1.183 3.602 6.384
Y 0.804 5.438 16.504
Y 3.698 7.200 15.151
Ac 1.187 0.001 6.266
Ac 3.843 7.199 11.268
Ac 3.701 3.599 15.033
Ac 1.328 3.602 2.501
Pr 0.933 1.797 13.045
Pr 0.933 5.397 13.043
Pr 4.096 5.404 4.489
Pr 4.096 1.804 4.491
```



(2)
A geometry-optimized MgZnW structure, computed with PBE-GGA.

Output
ΔH_f (0 K)	4.02	eV/f.u.
final energy	-11.8	eV per cell
magnetic moment	1.29	μB/cell
offset from the most stable computed form	3.24	eV per formula unit

The structure in extended XYZ format:
```
3
Lattice="-1.685 -2.687 3.089 2.379 -1.007 3.595 -1.164 1.624 3.951" Properties=species:S:1:pos:R:3 pbc="T T T"
W -0.117 -0.517 2.659
Mg -0.235 -1.035 5.317
Zn 0.000 0.000 0.000
```



(3)
A geometry-optimized Pm4TlC2 structure, computed with PBE-GGA.

Output
ΔH_f (0 K)	-1.47	eV/f.u.
final energy	-41.3	eV per cell
magnetic moment	0.00	μB/cell

The structure in extended XYZ format:
```
7
Lattice="3.696 0.000 0.000 1.848 3.201 0.000 1.848 1.067 15.047" Properties=species:S:1:pos:R:3 pbc="T T T"
Pm 1.848 1.067 2.738
Pm 1.848 1.067 9.500
Pm 5.544 3.201 5.547
Pm 5.544 3.201 12.309
C 3.696 2.134 4.236
C 3.696 2.134 10.811
Tl 0.000 0.000 0.000
```



(4)
A geometry-optimized RbSeO3 structure, computed with PBE-GGA.

Output
final energy	-48.9	eV per cell
formation energy from raw total energies	-1.02	eV/atom
magnetic moment	2.02	μB/cell

The structure in extended XYZ format:
```
10
Lattice="3.776 0.279 -1.499 -1.348 6.638 -2.021 -1.066 1.102 8.226" Properties=species:S:1:pos:R:3 pbc="T T T"
O -0.051 3.316 3.174
O 0.931 5.111 0.157
O 1.773 0.810 0.723
O -0.643 3.211 5.858
O 1.524 5.217 -2.527
O 0.456 0.978 4.629
Se 1.448 6.117 -1.099
Se -0.567 2.310 4.430
Rb 1.531 5.918 3.005
Rb 3.125 2.788 -1.174
```



(5)
A geometry-optimized LiW2Cl structure, computed with PBE-GGA.

Output
final energy	-25.7	eV per cell
formation energy from raw total energies	1.00	eV/atom
magnetic moment	0.00	μB/cell
offset from the most stable computed form	3.80	eV per formula unit

The structure in extended XYZ format:
```
4
Lattice="2.784 0.000 0.000 0.000 4.781 0.000 0.000 0.000 5.095" Properties=species:S:1:pos:R:3 pbc="T T T"
Li 1.392 2.390 3.821
W 0.000 0.000 2.634
W 0.000 0.000 5.009
Cl 1.392 2.390 1.274
```



(6)
A geometry-optimized TbNd2Sc structure, computed with PBE-GGA.

Output
ΔH_f (0 K)	0.89	eV/f.u.
final energy	-39.2	eV per cell
magnetic moment	0.00	μB/cell
offset from the most stable computed form	0.74	eV per formula unit

The structure in extended XYZ format:
```
8
Lattice="14.675 1.877 -1.827 -2.891 3.724 -2.870 -1.269 -1.029 5.272" Properties=species:S:1:pos:R:3 pbc="T T T"
Sc 2.128 0.237 3.452
Sc 8.387 4.336 -2.877
Nd 5.522 3.694 -0.815
Nd -1.276 1.173 2.810
Nd 11.791 3.399 -2.235
Nd 4.993 0.878 1.389
Tb 8.927 2.754 -0.167
Tb 1.588 1.818 0.742
```



(7)
A geometry-optimized PmHo3Ga2 structure, computed with PBE-GGA.

Output
ΔH_f (0 K)	-2.00	eV/f.u.
final energy	-53.1	eV per cell
magnetic moment	0.00	μB/cell
offset from the most stable computed form	0.52	eV per formula unit

The structure in extended XYZ format:
```
12
Lattice="5.094 0.000 0.000 -2.547 8.741 -0.704 0.000 -4.598 7.562" Properties=species:S:1:pos:R:3 pbc="T T T"
Ga 2.547 4.050 0.843
Ga 2.547 -3.799 6.602
Ga 0.000 7.943 0.256
Ga 0.000 0.094 6.014
Pm 2.547 2.199 6.505
Pm 0.000 1.944 0.353
Ho 2.547 4.921 3.847
Ho 0.000 -0.778 3.010
Ho 0.000 2.629 4.219
Ho 0.000 5.390 1.497
Ho 2.547 -1.246 5.360
Ho 2.547 1.515 2.639
```



(8)
A geometry-optimized InB structure, computed with PBE-GGA.

Output
ΔH_f (0 K)	2.56	eV/f.u.
final energy	-41.1	eV per cell
magnetic moment	0.00	μB/cell
offset from the most stable computed form	1.83	eV per formula unit

The structure in extended XYZ format:
```
12
Lattice="-2.544 -5.908 1.551 4.116 -2.899 -4.294 4.513 -0.686 4.790" Properties=species:S:1:pos:R:3 pbc="T T T"
B -0.144 -3.126 1.973
B 1.422 -2.927 -1.759
B 2.113 -3.469 4.367
B 0.150 -5.881 -0.984
B 3.285 -1.068 1.321
B 5.343 -2.518 -0.825
In 0.349 -4.774 3.558
In 1.621 -1.820 2.782
In 1.815 -5.128 -2.445
In 5.443 -1.964 1.445
In 3.186 -1.621 -0.949
In -0.243 -3.679 -0.298
```



(9)
A geometry-optimized SiHgCl structure, computed with PBE-GGA.

Output
final energy	-5.8	eV per cell
formation energy from raw total energies	0.58	eV/atom
magnetic moment	0.70	μB/cell
offset from the most stable computed form	2.19	eV per formula unit

The structure in extended XYZ format:
```
3
Lattice="-0.242 -2.864 3.880 3.041 -3.724 0.445 3.505 0.129 3.318" Properties=species:S:1:pos:R:3 pbc="T T T"
Hg 4.728 -4.844 5.733
Si 0.000 0.000 0.000
Cl 3.152 -3.229 3.822
```



(10)
A geometry-optimized La3Pr2SmY6 structure, computed with PBE-GGA.

Output
ΔH_f (0 K)	0.10	eV/f.u.
final energy	-67.7	eV per cell
magnetic moment	0.00	μB/cell

The structure in extended XYZ format:
```
12
Lattice="6.331 -0.001 0.004 -3.165 5.483 0.004 -1.062 -1.838 11.740" Properties=species:S:1:pos:R:3 pbc="T T T"
La 1.052 1.822 5.874
La -2.110 3.648 5.874
La 4.215 -0.005 5.874
Y 3.161 1.822 8.834
Y -0.005 -0.009 8.826
Y -1.056 1.822 2.915
Y -0.001 3.648 8.834
Y 2.106 -0.005 2.915
Y 2.110 3.653 2.923
Sm 0.000 0.000 0.000
Pr 0.002 3.654 0.004
Pr 3.164 1.828 0.004
```



(11)
A geometry-optimized Ba5InO6 structure, computed with PBE-GGA.

Output
final energy	-68.0	eV per cell
formation energy from raw total energies	-2.16	eV/atom
magnetic moment	0.24	μB/cell

The structure in extended XYZ format:
```
12
Lattice="6.764 0.185 0.000 2.081 6.460 0.000 1.041 3.230 5.876" Properties=species:S:1:pos:R:3 pbc="T T T"
O 5.593 1.735 1.928
O 3.252 4.911 1.928
O 6.634 4.965 3.948
O 6.646 5.013 0.000
O 4.293 8.140 3.948
O 2.199 1.632 0.000
Ba 5.463 6.553 1.908
Ba 4.423 3.323 3.968
Ba 1.041 3.230 1.971
Ba 4.423 3.323 0.000
Ba 2.081 6.460 3.905
In 0.000 0.000 0.000
```



(12)
A geometry-optimized BaTiTe2Se structure, computed with PBE-GGA.

Output
final energy	-25.1	eV per cell
formation energy from raw total energies	-1.11	eV/atom
magnetic moment	0.00	μB/cell

The structure in extended XYZ format:
```
5
Lattice="-1.452 -1.052 -5.295 3.359 -4.469 -0.033 -3.723 -2.810 1.580" Properties=species:S:1:pos:R:3 pbc="T T T"
Te 1.679 -2.234 -0.017
Te -0.726 -0.526 -2.647
Se -1.862 -1.405 0.790
Ti 0.000 0.000 0.000
Ba -0.909 -4.166 -1.874
```